DFT (PBE) results for a relaxed Tl4CrRu crystal.

Values from the calculation:
Its space group is F-43m. Its formation energy is 1.0978 eV per atom. As for the magnetic moment: 6.37 μB/cell. For the density of states at the Fermi level, the calculation gives 4.17 states/eV/f.u.

Unit cell a=6.0365 b=6.0365 c=6.0365 alpha=60.00 beta=60.00 gamma=60.00
Last column: nearest neighbours and their distance in Å.
Sites, in units of the cell vectors:
Tl 0.1252 0.1252 0.1252  6 Tl 3.01-3.02
Tl 0.1252 0.1252 0.6243  6 Tl 3.01-3.02
Tl 0.1252 0.6243 0.1252  6 Tl 3.01-3.02
Tl 0.6243 0.1252 0.1252  6 Tl 3.01-3.02
Cr 0.7500 0.7500 0.7500  12 Tl 3.54, 4 Ru 3.70
Ru 0.5000 0.5000 0.5000  12 Tl 3.54, 4 Cr 3.70

DFT (PBE) results for a relaxed Tb3Si8Pd3 crystal.

Values from the calculation:
The value obtained for the energy above the lowest structure with this stoichiometry is 0 meV per atom. Its space group is C2/m. The formation energy without anion corrections is -13.33 kcal/mol of atoms. As for the magnetic moment: 0.00 μB/cell. For the density of states at the Fermi level, the calculation gives 5.94 states/eV/f.u.

Unit cell a=7.8098 b=7.8098 c=8.8581 alpha=118.31 beta=118.31 gamma=31.24
Last column: nearest neighbours and their distance in Å.
Sites, in units of the cell vectors:
Tb 0.0000 0.0000 0.0000  8 Si 2.90-3.04
Tb 0.3023 0.3023 0.3518  9 Si 2.96-3.15, 2 Pd 3.26
Tb 0.6977 0.6977 0.6482  9 Si 2.96-3.15, 2 Pd 3.26
Si 0.1132 0.1132 0.3762  2 Si 2.43, 1 Pd 2.44
Si 0.1342 0.1342 0.8418  4 Pd 2.46-2.69, 2 Si 2.56
Si 0.3660 0.3660 0.7393  3 Si 2.41-2.43, 1 Pd 2.41
Si 0.4770 0.4770 0.2719  3 Si 2.41-2.56, 1 Pd 2.56
Si 0.5230 0.5230 0.7281  3 Si 2.41-2.56, 1 Pd 2.56
Si 0.6340 0.6340 0.2607  3 Si 2.41-2.43, 1 Pd 2.41
Si 0.8658 0.8658 0.1582  4 Pd 2.46-2.69, 2 Si 2.56
Si 0.8868 0.8868 0.6238  2 Si 2.43, 1 Pd 2.44
Pd 0.0000 0.0000 0.5000  4 Si 2.44-2.69
Pd 0.3212 0.3212 0.9663  5 Si 2.41-2.58
Pd 0.6788 0.6788 0.0337  5 Si 2.41-2.58

Question: Number 1 is which compound?
Answer: Tl4CrRu

Question: What is the magnetic moment in the first record?
Answer: 6.37 μB/cell

Question: What is the formula in the second record?
Answer: Tb3Si8Pd3